First-principles (PBE) data for crystalline AgRuAu2 at its relaxed geometry, as listed in the Alexandria database.

The value obtained for the formation energy is 0.403 eV per atom. The density comes out at 14.642 g/cm³. As for the energy above the lowest structure with this stoichiometry: 154 meV/atom.

It has space group I-4m2 (No. 119), with a = 4.146 Å, b = 4.146 Å, c = 7.954 Å, α = 90.00°, β = 90.00° and γ = 90.00°. Symmetry generates all atoms from Ag at (0.000, 0.000, 0.000), Ru at (0.000, 0.500, 0.250), Au at (0.000, 0.000, 0.500) and Au at (0.000, 0.500, 0.750).

First-principles (PBE) data for crystalline PmNd3DyY at its relaxed geometry, as listed in the Alexandria database.

The value obtained for the formation energy is 0.015 eV per atom. The density comes out at 6.752 g/cm³.

It has space group Cmcm (No. 63), with a = 5.131 Å, b = 15.428 Å, c = 10.305 Å, α = 90.00°, β = 90.00° and γ = 90.00°. Symmetry generates all atoms from Pm at (0.000, 0.001, 0.250), Nd at (0.000, 0.165, 0.000), Nd at (0.000, 0.334, 0.250), Dy at (0.000, 0.500, 0.000) and Y at (0.000, 0.334, 0.750).